! Cr2GaMoO6 (GGA+U, relaxed); values from VASP
&SYSTEM
  ibrav = 0, nat = 10, ntyp = 4
/
ATOMIC_SPECIES
Cr 52.00 Cr.upf
Ga 69.72 Ga.upf
Mo 95.94 Mo.upf
O 16.00 O.upf
ATOMIC_POSITIONS crystal
Cr 0.000 0.000 0.000
Cr 0.500 0.500 0.500
Ga 0.297 0.297 0.297
Mo 0.801 0.801 0.801
O 0.114 0.703 0.383
O 0.220 0.592 0.901
O 0.383 0.114 0.703
O 0.592 0.901 0.220
O 0.703 0.383 0.114
O 0.901 0.220 0.592
CELL_PARAMETERS angstrom
2.594 1.498 4.635
-2.594 1.498 4.635
0.000 -2.995 4.635
! - Final energy: -72.4 eV/cell
! - Space group: R3